Entry 1:
La2Pr3Hg: relaxed, PBE-GGA.

Unit cell a=6.3162 b=6.3162 c=11.8206 alpha=95.12 beta=95.12 gamma=120.04
Closest atoms and distances in Å follow each position.
Positions (direct):
La 0.0000 0.0000 0.0000  6 Pr 3.54-3.55, 6 Hg 3.64-3.65
La 0.1623 0.8377 0.5000  6 La 3.55-3.69, 6 Pr 3.66-3.70
La 0.5000 0.5000 0.5000  6 La 3.62-3.69, 6 Pr 3.65-3.71
La 0.8377 0.1623 0.5000  6 La 3.55-3.69, 6 Pr 3.66-3.70
Pr 0.0794 0.4255 0.2403  2 Hg 3.47-3.48, 4 La 3.55-3.71, 6 Pr 3.58-3.79
Pr 0.2659 0.2659 0.7605  2 Hg 3.47, 4 La 3.54-3.69, 6 Pr 3.58-3.78
Pr 0.4255 0.0794 0.2403  2 Hg 3.47-3.48, 4 La 3.55-3.71, 6 Pr 3.58-3.79
Pr 0.5745 0.9206 0.7597  2 Hg 3.47-3.48, 4 La 3.55-3.71, 6 Pr 3.58-3.79
Pr 0.7341 0.7341 0.2395  2 Hg 3.47, 4 La 3.54-3.69, 6 Pr 3.58-3.78
Pr 0.9206 0.5745 0.7597  2 Hg 3.47-3.48, 4 La 3.55-3.71, 6 Pr 3.58-3.79
Hg 0.3326 0.6674 0.0000  6 Pr 3.47-3.48, 3 Hg 3.64-3.66, 3 La 3.64-3.65
Hg 0.6674 0.3326 0.0000  6 Pr 3.47-3.48, 3 Hg 3.64-3.66, 3 La 3.64-3.65

Output
calculated formation energy = -0.083 eV per atom
final energy = -49.98 eV for the cell shown
SG = No. 12

---

Entry 2:
La2Pr3Hg2: relaxed, PBE-GGA.

Unit cell a=3.7978 b=31.7819 c=3.7679 alpha=90.00 beta=90.00 gamma=90.00
Closest atoms and distances in Å follow each position.
Positions (direct):
La 0.0000 0.2056 0.0000  4 Hg 3.37, 4 La 3.40-3.77
La 0.0000 0.7944 0.0000  4 Hg 3.37, 4 La 3.40-3.77
La 0.5000 0.2944 0.0000  4 Hg 3.37, 4 La 3.40-3.77
La 0.5000 0.7056 0.0000  4 Hg 3.37, 4 La 3.40-3.77
Pr 0.0000 0.0806 0.0000  4 Hg 3.29
Pr 0.0000 0.5000 0.5000  12 Pr 3.70-3.80
Pr 0.0000 0.9194 0.0000  4 Hg 3.29
Pr 0.5000 0.0000 0.5000  12 Pr 3.70-3.80
Pr 0.5000 0.4194 0.0000  4 Hg 3.29
Pr 0.5000 0.5806 0.0000  4 Hg 3.29
Hg 0.0000 0.3591 0.5000  4 Pr 3.29, 4 La 3.37
Hg 0.0000 0.6409 0.5000  4 Pr 3.29, 4 La 3.37
Hg 0.5000 0.1409 0.5000  4 Pr 3.29, 4 La 3.37
Hg 0.5000 0.8591 0.5000  4 Pr 3.29, 4 La 3.37

Output
calculated formation energy = -0.219 eV per atom
final energy = -52.66 eV for the cell shown
SG = No. 65

---

Entry 3:
La3Pr2Hg: relaxed, PBE-GGA.

Unit cell a=3.7879 b=3.7879 c=14.4374 alpha=90.00 beta=90.00 gamma=90.00
Closest atoms and distances in Å follow each position.
Positions (direct):
La 0.0000 0.0000 0.0000  8 Pr 3.72, 4 La 3.79
La 0.0000 0.0000 0.3582  4 Hg 3.37, 4 Pr 3.73
La 0.0000 0.0000 0.6418  4 Hg 3.37, 4 Pr 3.73
Pr 0.5000 0.5000 0.1787  8 La 3.72-3.73, 4 Pr 3.79
Pr 0.5000 0.5000 0.8213  8 La 3.72-3.73, 4 Pr 3.79
Hg 0.5000 0.5000 0.5000  8 La 3.37

Output
calculated formation energy = -0.157 eV per atom
final energy = -25.58 eV for the cell shown
SG = No. 123

---

Entry 4:
LaPrHg4: relaxed, PBE-GGA.

Unit cell a=4.1182 b=5.3836 c=7.7615 alpha=90.00 beta=105.32 gamma=90.00
Closest atoms and distances in Å follow each position.
Positions (direct):
La 0.0000 0.0000 0.0000  10 Hg 3.24-3.44
Pr 0.7907 0.5000 0.5799  10 Hg 3.22-3.44
Hg 0.1264 0.5000 0.2491  6 Hg 3.20-3.46, 2 Pr 3.22, 2 La 3.27
Hg 0.3274 0.0000 0.6545  4 Hg 3.15-3.35, 2 La 3.30-3.31, 4 Pr 3.43-3.44
Hg 0.4608 0.5000 0.9205  4 Hg 3.20-3.35, 2 Pr 3.28, 4 La 3.44
Hg 0.6663 0.0000 0.3349  6 Hg 3.15-3.46, 2 La 3.24-3.25, 2 Pr 3.26

Output
calculated formation energy = -0.439 eV per atom
final energy = -13.55 eV for the cell shown
SG = No. 6

---

Entry 5:
LaPrHg4: relaxed, PBE-GGA.

Unit cell a=6.0775 b=6.0775 c=6.0775 alpha=60.00 beta=60.00 gamma=60.00
Closest atoms and distances in Å follow each position.
Positions (direct):
La 0.0000 0.0000 0.0000  12 Hg 3.56, 4 Pr 3.72
Pr 0.2500 0.2500 0.2500  12 Hg 3.56, 4 La 3.72
Hg 0.1254 0.6249 0.6249  6 Hg 3.04
Hg 0.6249 0.1254 0.6249  6 Hg 3.04
Hg 0.6249 0.6249 0.1254  6 Hg 3.04
Hg 0.6249 0.6249 0.6249  6 Hg 3.04

Output
calculated formation energy = -0.322 eV per atom
final energy = -12.85 eV for the cell shown
SG = No. 216

---

Entry 6:
La6PrHg: relaxed, PBE-GGA.

Unit cell a=7.2833 b=10.2832 c=8.0514 alpha=90.00 beta=116.66 gamma=90.00
Closest atoms and distances in Å follow each position.
Positions (direct):
La 0.1322 0.2496 0.2643  7 La 3.39-3.77, 2 Hg 3.57-3.58, 2 Pr 3.58
La 0.1322 0.7504 0.2643  7 La 3.39-3.77, 2 Hg 3.57-3.58, 2 Pr 3.58
La 0.2399 0.0000 0.9792  1 Hg 3.45, 10 La 3.60-3.77, 1 Pr 3.75
La 0.2601 0.5000 0.0208  1 Hg 3.45, 10 La 3.60-3.77, 1 Pr 3.75
La 0.3678 0.2504 0.7357  7 La 3.39-3.77, 2 Hg 3.57-3.58, 2 Pr 3.58
La 0.3678 0.7496 0.7357  7 La 3.39-3.77, 2 Hg 3.57-3.58, 2 Pr 3.58
La 0.6322 0.2504 0.2643  7 La 3.39-3.77, 2 Hg 3.57-3.58, 2 Pr 3.58
La 0.6322 0.7496 0.2643  7 La 3.39-3.77, 2 Hg 3.57-3.58, 2 Pr 3.58
La 0.7399 0.5000 0.9792  1 Hg 3.45, 10 La 3.60-3.77, 1 Pr 3.75
La 0.7601 0.0000 0.0208  1 Hg 3.45, 10 La 3.60-3.77, 1 Pr 3.75
La 0.8678 0.2496 0.7357  7 La 3.39-3.77, 2 Hg 3.57-3.58, 2 Pr 3.58
La 0.8678 0.7504 0.7357  7 La 3.39-3.77, 2 Hg 3.57-3.58, 2 Pr 3.58
Pr 0.0000 0.5000 0.5000  10 La 3.58-3.75, 2 Hg 3.64
Pr 0.5000 0.0000 0.5000  10 La 3.58-3.75, 2 Hg 3.64
Hg 0.0000 0.0000 0.5000  10 La 3.45-3.58, 2 Pr 3.64
Hg 0.5000 0.5000 0.5000  10 La 3.45-3.58, 2 Pr 3.64

Output
calculated formation energy = -0.084 eV per atom
final energy = -70.64 eV for the cell shown
SG = No. 12

---

What did the fourth record say?
LaPrHg4: relaxed, PBE-GGA.

Unit cell a=4.1182 b=5.3836 c=7.7615 alpha=90.00 beta=105.32 gamma=90.00
Closest atoms and distances in Å follow each position.
Positions (direct):
La 0.0000 0.0000 0.0000  10 Hg 3.24-3.44
Pr 0.7907 0.5000 0.5799  10 Hg 3.22-3.44
Hg 0.1264 0.5000 0.2491  6 Hg 3.20-3.46, 2 Pr 3.22, 2 La 3.27
Hg 0.3274 0.0000 0.6545  4 Hg 3.15-3.35, 2 La 3.30-3.31, 4 Pr 3.43-3.44
Hg 0.4608 0.5000 0.9205  4 Hg 3.20-3.35, 2 Pr 3.28, 4 La 3.44
Hg 0.6663 0.0000 0.3349  6 Hg 3.15-3.46, 2 La 3.24-3.25, 2 Pr 3.26

Output
calculated formation energy = -0.439 eV per atom
final energy = -13.55 eV for the cell shown
SG = No. 6